(1)
The following is a PBE calculation of a relaxed ZrRuPt crystal, from Alexandria.

The calculated formation energy comes out at -7.3 kcal/mol of atoms. Its volume is 51 Å³/cell. The crystal system is trigonal. As for the energy: -8.270 eV/atom. The calculation puts the energy above the most stable polymorph in this dataset at 79.0 meV/atom.

The space group is P3m1 (No. 156) and the conventional cell measures 4.5622, 4.5622 and 2.8214 Å, with angles of 90.00, 90.00 and 120.00 degrees. The asymmetric unit holds Zr at (0.0000, 0.0000, 0.0000), Ru at (0.3333, 0.6667, 0.7809) and Pt at (0.6667, 0.3333, 0.3312).

***

(2)
The following is a PBE calculation of a relaxed ZrRuPt crystal, from Alexandria.

The calculated formation energy comes out at -6.8 kcal/mol of atoms. Its volume is 103 Å³/cell. The crystal system is tetragonal. As for the energy: -8.251 eV/atom. The calculation puts the energy above the most stable polymorph in this dataset at 97.0 meV/atom.

The space group is I4mm (No. 107) and the conventional cell measures 2.973, 2.973 and 11.631 Å, with angles of 90.00, 90.00 and 90.00 degrees. The asymmetric unit holds Zr at (0.000, 0.000, 0.000), Ru at (0.000, 0.000, 0.341) and Pt at (0.000, 0.000, 0.677).

***

(3)
The following is a PBE calculation of a relaxed PtS crystal, from Alexandria.

Its volume is 400 Å³/cell. The crystal system is cubic. As for the energy: -4.953 eV/atom. The uncorrected formation energy comes out at 0.132 eV/atom.

The space group is I-43m (No. 217) and the conventional cell measures 7.367, 7.367 and 7.367 Å, with angles of 90.00, 90.00 and 90.00 degrees. The asymmetric unit holds Pt at (0.172, 0.172, 0.828) and S at (0.155, 0.155, 0.155).

***

(4)
The following is a PBE calculation of a relaxed PtS crystal, from Alexandria.

Its volume is 391 Å³/cell. The crystal system is tetragonal. As for the energy: -5.198 eV/atom. The uncorrected formation energy comes out at -0.114 eV/atom.

The space group is P4/m (No. 83) and the conventional cell measures 9.272, 9.272 and 4.545 Å, with angles of 90.00, 90.00 and 90.00 degrees. The asymmetric unit holds Pt at (0.077, 0.276, 0.000), Pt at (0.098, 0.731, 0.500), S at (0.150, 0.327, 0.500) and S at (0.175, 0.686, 0.000).

***

(5)
The following is a PBE calculation of a relaxed PtS crystal, from Alexandria.

Its volume is 140 Å³/cell. The crystal system is orthorhombic. As for the energy: -5.238 eV/atom. The uncorrected formation energy comes out at -0.154 eV/atom.

The space group is Cmcm (No. 63) and the conventional cell measures 4.759, 7.635 and 3.855 Å, with angles of 90.00, 90.00 and 90.00 degrees. The asymmetric unit holds Pt at (0.000, 0.123, 0.250) and S at (0.000, 0.314, 0.750).

***

(6)
The following is a PBE calculation of a relaxed PtS crystal, from Alexandria.

Its volume is 331 Å³/cell. The crystal system is tetragonal. As for the energy: -5.257 eV/atom. The uncorrected formation energy comes out at -0.173 eV/atom.

The space group is I4/m (No. 87) and the conventional cell measures 8.572, 8.572 and 4.504 Å, with angles of 90.00, 90.00 and 90.00 degrees. The asymmetric unit holds Pt at (0.089, 0.271, 0.000) and S at (0.154, 0.326, 0.500).

***

(7)
The following is a PBE calculation of a relaxed PtS crystal, from Alexandria.

Its volume is 161 Å³/cell. The crystal system is orthorhombic. As for the energy: -5.232 eV/atom. The uncorrected formation energy comes out at -0.147 eV/atom.

The space group is Amm2 (No. 38) and the conventional cell measures 3.537, 3.339 and 13.641 Å, with angles of 90.00, 90.00 and 90.00 degrees. The asymmetric unit holds Pt at (0.000, 0.000, 0.000), Pt at (0.500, 0.000, 0.273), S at (0.500, 0.000, 0.109) and S at (0.500, 0.000, 0.888).

***

(8)
The following is a PBE calculation of a relaxed PtS4 crystal, from Alexandria.

Its volume is 102 Å³/cell. The crystal system is cubic. As for the energy: -3.575 eV/atom. The calculation puts the energy above the most stable polymorph in this dataset at 962.7 meV/atom. The uncorrected formation energy comes out at 0.935 eV/atom.

The space group is Pm-3m (No. 221) and the conventional cell measures 4.679, 4.679 and 4.679 Å, with angles of 90.00, 90.00 and 90.00 degrees. The asymmetric unit holds Pt at (0.000, 0.000, 0.000), S at (0.000, 0.000, 0.500) and S at (0.500, 0.500, 0.500).

***

(9)
The following is a PBE calculation of a relaxed PtS crystal, from Alexandria.

Its volume is 145 Å³/cell. The crystal system is orthorhombic. As for the energy: -5.125 eV/atom. The uncorrected formation energy comes out at -0.041 eV/atom.

The space group is Cmc2_1 (No. 36) and the conventional cell measures 4.326, 6.262 and 5.351 Å, with angles of 90.00, 90.00 and 90.00 degrees. The asymmetric unit holds Pt at (0.000, 0.081, 0.000) and S at (0.000, 0.281, 0.371).

***

(10)
The following is a PBE calculation of a relaxed PtS crystal, from Alexandria.

Its volume is 406 Å³/cell. The crystal system is orthorhombic. As for the energy: -5.178 eV/atom. The uncorrected formation energy comes out at -0.093 eV/atom.

The space group is P2_12_12_1 (No. 19) and the conventional cell measures 6.184, 6.586 and 9.964 Å, with angles of 90.00, 90.00 and 90.00 degrees. The asymmetric unit holds Pt at (0.085, 0.122, 0.281), Pt at (0.173, 0.557, 0.708), S at (0.012, 0.338, 0.105) and S at (0.067, 0.817, 0.849).